VASP calculation (GGA-PBE) on a geometry-optimized Tb2NdHoS4 structure.

calculated total energy = -51.092 eV/cell

a = 6.844 Å, b = 3.913 Å, c = 6.902 Å
α = 90.00°, β = 108.97°, γ = 90.00°
Element x y z (fractional)
Tb 0.000 0.000 0.000
Tb 0.000 0.500 0.500
Nd 0.500 0.000 0.500
Ho 0.500 0.500 0.000
S 0.243 0.500 0.240
S 0.249 0.000 0.757
S 0.751 0.000 0.243
S 0.757 0.500 0.760

VASP calculation (GGA-PBE) on a geometry-optimized Na3Pm4Te8 structure.

calculated total energy = -66.238 eV/cell

a = 8.989 Å, b = 8.989 Å, c = 8.932 Å
α = 119.36°, β = 119.36°, γ = 90.75°
Element x y z (fractional)
Na 0.000 0.000 0.000
Na 0.000 0.500 0.000
Na 0.500 0.000 0.000
Pm 0.000 0.500 0.500
Pm 0.500 0.000 0.500
Pm 0.500 0.500 0.000
Pm 0.500 0.500 0.500
Te 0.248 0.248 0.505
Te 0.253 0.747 0.000
Te 0.253 0.747 0.500
Te 0.260 0.260 0.012
Te 0.740 0.740 0.988
Te 0.747 0.253 0.000
Te 0.747 0.253 0.500
Te 0.752 0.752 0.495

VASP calculation (GGA-PBE) on a geometry-optimized Y2NpAl2Ru5 structure.

DFT formation energy = -440 meV per atom
calculated total energy = -168.259 eV/cell

a = 10.193 Å, b = 10.193 Å, c = 3.354 Å
α = 90.00°, β = 90.00°, γ = 90.00°
Element x y z (fractional)
Y 0.170 0.330 0.000
Y 0.330 0.830 0.000
Y 0.670 0.170 0.000
Y 0.830 0.670 0.000
Np 0.000 0.000 0.000
Np 0.500 0.500 0.000
Al 0.127 0.627 0.000
Al 0.373 0.127 0.000
Al 0.627 0.873 0.000
Al 0.873 0.373 0.000
Ru 0.000 0.500 0.500
Ru 0.067 0.801 0.500
Ru 0.199 0.067 0.500
Ru 0.301 0.567 0.500
Ru 0.433 0.301 0.500
Ru 0.500 0.000 0.500
Ru 0.567 0.699 0.500
Ru 0.699 0.433 0.500
Ru 0.801 0.933 0.500
Ru 0.933 0.199 0.500

VASP calculation (GGA-PBE) on a geometry-optimized LuInPd structure.

DFT formation energy = -662 meV per atom
calculated total energy = -14.438 eV/cell

a = 4.676 Å, b = 4.676 Å, c = 3.435 Å
α = 90.00°, β = 90.00°, γ = 120.00°
Element x y z (fractional)
Lu 0.000 0.000 0.000
In 0.667 0.333 0.500
Pd 0.333 0.667 0.500